# PBE-GGA Cd2PtAu, relaxed
data_Cd2PtAu
_space_group_name_H-M_alt 'P 1'
_space_group_IT_number 1
_cell_length_a 4.853
_cell_length_b 2.991
_cell_length_c 5.064
_cell_angle_alpha 89.99
_cell_angle_beta 90.00
_cell_angle_gamma 90.00
loop_
_space_group_symop_operation_xyz
'x,y,z'
loop_
_atom_site_label
_atom_site_fract_x
_atom_site_fract_y
_atom_site_fract_z
_atom_site_occupancy
Pt1 0.000 0.625 0.437 1
Cd1 0.500 0.125 0.319 1
Cd2 0.000 0.125 0.935 1
Au1 0.500 0.625 0.809 1
# - E_form (eV/atom) = -0.236
# - density of states at the Fermi level (states/eV/f.u.) = 0.92



# PBE-GGA Cs3Cu2SbI9, relaxed
data_Cs3Cu2SbI9
_space_group_name_H-M_alt 'P 1'
_space_group_IT_number 1
_cell_length_a 8.258
_cell_length_b 8.258
_cell_length_c 10.184
_cell_angle_alpha 90.00
_cell_angle_beta 90.00
_cell_angle_gamma 120.00
loop_
_space_group_symop_operation_xyz
'x,y,z'
loop_
_atom_site_label
_atom_site_fract_x
_atom_site_fract_y
_atom_site_fract_z
_atom_site_occupancy
I1 0.172 0.344 0.326 1
I2 0.500 0.500 0.000 1
I3 0.828 0.656 0.674 1
I4 0.344 0.172 0.674 1
I5 0.172 0.828 0.326 1
I6 0.828 0.172 0.674 1
I7 0.656 0.828 0.326 1
I8 0.000 0.500 0.000 1
I9 0.500 0.000 0.000 1
Sb1 0.000 0.000 0.500 1
Cs1 0.333 0.667 0.672 1
Cs2 0.000 0.000 0.000 1
Cs3 0.667 0.333 0.328 1
Cu1 0.333 0.667 0.141 1
Cu2 0.667 0.333 0.859 1
# - density of states at the Fermi level (states/eV/f.u.) = 6.50



# PBE-GGA Er3Tm3CuRu2, relaxed
data_Er3Tm3CuRu2
_space_group_name_H-M_alt 'P 1'
_space_group_IT_number 1
_cell_length_a 4.705
_cell_length_b 7.195
_cell_length_c 7.195
_cell_angle_alpha 120.00
_cell_angle_beta 90.00
_cell_angle_gamma 90.00
loop_
_space_group_symop_operation_xyz
'x,y,z'
loop_
_atom_site_label
_atom_site_fract_x
_atom_site_fract_y
_atom_site_fract_z
_atom_site_occupancy
Er1 0.500 0.266 0.266 1
Er2 0.500 0.734 0.000 1
Er3 0.500 0.000 0.734 1
Ru1 0.500 0.667 0.333 1
Ru2 0.500 0.333 0.667 1
Cu1 0.000 0.000 0.000 1
Tm1 0.000 0.000 0.416 1
Tm2 0.000 0.584 0.584 1
Tm3 0.000 0.416 0.000 1
# - E_form (eV/atom) = -0.233
# - density of states at the Fermi level (states/eV/f.u.) = 7.25



# PBE-GGA SmUTl2S6, relaxed
data_SmUTl2S6
_space_group_name_H-M_alt 'P 1'
_space_group_IT_number 1
_cell_length_a 7.182
_cell_length_b 7.305
_cell_length_c 10.361
_cell_angle_alpha 90.00
_cell_angle_beta 89.95
_cell_angle_gamma 90.00
loop_
_space_group_symop_operation_xyz
'x,y,z'
loop_
_atom_site_label
_atom_site_fract_x
_atom_site_fract_y
_atom_site_fract_z
_atom_site_occupancy
Sm1 0.500 0.000 0.000 1
Sm2 0.000 0.500 0.500 1
S1 0.180 0.207 0.048 1
S2 0.592 0.025 0.261 1
S3 0.680 0.293 0.548 1
S4 0.408 0.975 0.739 1
S5 0.705 0.317 0.957 1
S6 0.820 0.793 0.952 1
S7 0.908 0.525 0.239 1
S8 0.205 0.183 0.457 1
S9 0.320 0.707 0.452 1
S10 0.092 0.475 0.761 1
S11 0.295 0.683 0.043 1
S12 0.795 0.817 0.543 1
U1 0.000 0.500 0.000 1
U2 0.500 0.000 0.500 1
Tl1 0.493 0.451 0.248 1
Tl2 0.993 0.049 0.748 1
Tl3 0.007 0.951 0.252 1
Tl4 0.507 0.549 0.752 1
# - density of states at the Fermi level (states/eV/f.u.) = 8.05



# PBE-GGA FeAsSe2, relaxed
data_FeAsSe2
_space_group_name_H-M_alt 'P 1'
_space_group_IT_number 1
_cell_length_a 2.822
_cell_length_b 2.822
_cell_length_c 10.221
_cell_angle_alpha 90.00
_cell_angle_beta 90.00
_cell_angle_gamma 90.00
loop_
_space_group_symop_operation_xyz
'x,y,z'
loop_
_atom_site_label
_atom_site_fract_x
_atom_site_fract_y
_atom_site_fract_z
_atom_site_occupancy
As1 0.000 0.000 0.596 1
Se1 0.000 0.000 0.897 1
Se2 0.500 0.500 0.248 1
Fe1 0.500 0.500 0.759 1
# - density of states at the Fermi level (states/eV/f.u.) = 1.25



# PBE-GGA GdTmGaPb, relaxed
data_GdTmGaPb
_space_group_name_H-M_alt 'P 1'
_space_group_IT_number 1
_cell_length_a 5.268
_cell_length_b 5.268
_cell_length_c 5.268
_cell_angle_alpha 60.00
_cell_angle_beta 60.00
_cell_angle_gamma 60.00
loop_
_space_group_symop_operation_xyz
'x,y,z'
loop_
_atom_site_label
_atom_site_fract_x
_atom_site_fract_y
_atom_site_fract_z
_atom_site_occupancy
Pb1 0.000 0.000 0.000 1
Ga1 0.500 0.500 0.500 1
Tm1 0.250 0.250 0.250 1
Gd1 0.750 0.750 0.750 1
# - E_form (eV/atom) = -0.428
# - density of states at the Fermi level (states/eV/f.u.) = 2.54



# PBE-GGA Dy2AgPb, relaxed
data_Dy2AgPb
_space_group_name_H-M_alt 'P 1'
_space_group_IT_number 1
_cell_length_a 4.072
_cell_length_b 5.065
_cell_length_c 5.065
_cell_angle_alpha 90.00
_cell_angle_beta 90.00
_cell_angle_gamma 90.00
loop_
_space_group_symop_operation_xyz
'x,y,z'
loop_
_atom_site_label
_atom_site_fract_x
_atom_site_fract_y
_atom_site_fract_z
_atom_site_occupancy
Dy1 0.000 0.500 0.000 1
Dy2 0.000 0.000 0.500 1
Pb1 0.500 0.000 0.000 1
Ag1 0.500 0.500 0.500 1
# - E_form (eV/atom) = -0.378
# - density of states at the Fermi level (states/eV/f.u.) = 3.19



# PBE-GGA As2PdBrO, relaxed
data_As2PdBrO
_space_group_name_H-M_alt 'P 1'
_space_group_IT_number 1
_cell_length_a 4.815
_cell_length_b 4.815
_cell_length_c 5.274
_cell_angle_alpha 90.00
_cell_angle_beta 90.00
_cell_angle_gamma 90.00
loop_
_space_group_symop_operation_xyz
'x,y,z'
loop_
_atom_site_label
_atom_site_fract_x
_atom_site_fract_y
_atom_site_fract_z
_atom_site_occupancy
Pd1 0.000 0.000 0.000 1
As1 0.000 0.500 0.000 1
As2 0.500 0.000 0.000 1
O1 0.500 0.500 0.500 1
Br1 0.000 0.000 0.500 1
# - density of states at the Fermi level (states/eV/f.u.) = 5.52



# PBE-GGA P2OsW, relaxed
data_P2OsW
_space_group_name_H-M_alt 'P 1'
_space_group_IT_number 1
_cell_length_a 4.078
_cell_length_b 4.078
_cell_length_c 5.151
_cell_angle_alpha 78.10
_cell_angle_beta 78.10
_cell_angle_gamma 41.73
loop_
_space_group_symop_operation_xyz
'x,y,z'
loop_
_atom_site_label
_atom_site_fract_x
_atom_site_fract_y
_atom_site_fract_z
_atom_site_occupancy
P1 0.999 0.999 0.004 1
P2 0.501 0.501 0.496 1
Os1 0.250 0.250 0.250 1
W1 0.750 0.750 0.750 1
# - E_form (eV/atom) = 0.090
# - density of states at the Fermi level (states/eV/f.u.) = 3.18



# PBE-GGA Pr4Nd5In, relaxed
data_Pr4Nd5In
_space_group_name_H-M_alt 'P 1'
_space_group_IT_number 1
_cell_length_a 4.299
_cell_length_b 4.299
_cell_length_c 18.437
_cell_angle_alpha 90.00
_cell_angle_beta 90.00
_cell_angle_gamma 90.00
loop_
_space_group_symop_operation_xyz
'x,y,z'
loop_
_atom_site_label
_atom_site_fract_x
_atom_site_fract_y
_atom_site_fract_z
_atom_site_occupancy
Nd1 0.500 0.500 0.087 1
Nd2 0.500 0.500 0.500 1
Nd3 0.500 0.500 0.913 1
Nd4 0.500 0.500 0.292 1
Nd5 0.500 0.500 0.708 1
Pr1 0.000 0.000 0.602 1
Pr2 0.000 0.000 0.804 1
Pr3 0.000 0.000 0.196 1
Pr4 0.000 0.000 0.398 1
In1 0.000 0.000 0.000 1
# - E_form (eV/atom) = -0.009
# - density of states at the Fermi level (states/eV/f.u.) = 17.13



# PBE-GGA CdCuCl, relaxed
data_CdCuCl
_space_group_name_H-M_alt 'P 1'
_space_group_IT_number 1
_cell_length_a 3.499
_cell_length_b 3.499
_cell_length_c 5.647
_cell_angle_alpha 90.00
_cell_angle_beta 90.00
_cell_angle_gamma 120.00
loop_
_space_group_symop_operation_xyz
'x,y,z'
loop_
_atom_site_label
_atom_site_fract_x
_atom_site_fract_y
_atom_site_fract_z
_atom_site_occupancy
Cu1 0.333 0.667 0.646 1
Cl1 0.667 0.333 0.394 1
Cd1 0.000 0.000 0.960 1
# - density of states at the Fermi level (states/eV/f.u.) = 0.13



# PBE-GGA TmScB2O6, relaxed
data_TmScB2O6
_space_group_name_H-M_alt 'P 1'
_space_group_IT_number 1
_cell_length_a 6.012
_cell_length_b 6.012
_cell_length_c 6.012
_cell_angle_alpha 47.86
_cell_angle_beta 47.86
_cell_angle_gamma 47.86
loop_
_space_group_symop_operation_xyz
'x,y,z'
loop_
_atom_site_label
_atom_site_fract_x
_atom_site_fract_y
_atom_site_fract_z
_atom_site_occupancy
B1 0.754 0.754 0.754 1
B2 0.246 0.246 0.246 1
O1 0.739 0.475 0.044 1
O2 0.261 0.525 0.956 1
O3 0.475 0.044 0.739 1
O4 0.525 0.956 0.261 1
O5 0.044 0.739 0.475 1
O6 0.956 0.261 0.525 1
Tm1 0.000 0.000 0.000 1
Sc1 0.500 0.500 0.500 1
# - density of states at the Fermi level (states/eV/f.u.) = 0.00



Number 1: theoretical density 13.93 g/cm³, VASP energy -3.024 eV per atom, V 73.5 Å³ per cell. Number 2: theoretical density 4.94 g/cm³, VASP energy -2.641 eV per atom, V 601.4 Å³ per cell. Number 3: theoretical density 10.03 g/cm³, VASP energy -5.761 eV per atom, V 210.9 Å³ per cell. Number 4: theoretical density 6.05 g/cm³, VASP energy -5.533 eV per atom, V 543.6 Å³ per cell. Number 5: theoretical density 5.89 g/cm³, VASP energy -4.942 eV per atom, V 81.4 Å³ per cell. Number 6: theoretical density 9.69 g/cm³, VASP energy -6.750 eV per atom, V 103.4 Å³ per cell. Number 7: theoretical density 10.18 g/cm³, VASP energy -4.318 eV per atom, V 104.4 Å³ per cell. Number 8: theoretical density 4.78 g/cm³, VASP energy -3.350 eV per atom, V 122.3 Å³ per cell. Number 9: theoretical density 13.02 g/cm³, VASP energy -8.660 eV per atom, V 55.6 Å³ per cell. Number 10: theoretical density 6.82 g/cm³, VASP energy -4.578 eV per atom, V 340.8 Å³ per cell. Number 11: theoretical density 5.86 g/cm³, VASP energy -2.518 eV per atom, V 59.9 Å³ per cell. Number 12: theoretical density 5.03 g/cm³, VASP energy -8.471 eV per atom, V 109.4 Å³ per cell.